(1)
KSmHgBi | PBE-GGA | optimized geometry

Cell: 5.6335 5.6335 5.6335 Å, 60.00 60.00 60.00°
With the nearest neighbours (Å) after each atom.
Sites, in units of the cell vectors:
K  0.0000  0.0000  0.0000  4 Bi 3.45, 4 Hg 3.45
Sm  0.5000  0.5000  0.5000  4 Hg 3.45, 4 Bi 3.45
Hg  0.2500  0.2500  0.2500  4 Sm 3.45, 4 K 3.45
Bi  0.7500  0.7500  0.7500  4 Sm 3.45, 4 K 3.45

Results
As for the energy: -2.84 eV/atom. The spin magnetization is 0.00 Bohr magnetons per cell.

(2)
KSnHgBi | PBE-GGA | optimized geometry

Cell: 5.3430 5.3430 5.9218 Å, 90.00 90.00 120.00°
With the nearest neighbours (Å) after each atom.
Sites, in units of the cell vectors:
K  0.0000  0.0000  0.0000  3 Hg 3.31, 3 Sn 3.59
Sn  0.3333  0.6667  0.3102  2 Hg 2.88-3.04, 3 Bi 3.20
Hg  0.3333  0.6667  0.7971  2 Sn 2.88-3.04
Bi  0.6667  0.3333  0.4530  3 Sn 3.20

Results
As for the energy: -2.46 eV/atom. The spin magnetization is 0.00 Bohr magnetons per cell.

(3)
KSnHgBi | PBE-GGA | optimized geometry

Cell: 5.6466 5.6466 5.6466 Å, 60.00 60.00 60.00°
With the nearest neighbours (Å) after each atom.
Sites, in units of the cell vectors:
K  0.0000  0.0000  0.0000  4 Hg 3.46, 4 Bi 3.46
Sn  0.5000  0.5000  0.5000  4 Hg 3.46, 4 Bi 3.46
Hg  0.2500  0.2500  0.2500  4 Sn 3.46, 4 K 3.46
Bi  0.7500  0.7500  0.7500  4 Sn 3.46, 4 K 3.46

Results
As for the energy: -2.46 eV/atom. The spin magnetization is 0.00 Bohr magnetons per cell.

(4)
K2SnHgBi | PBE-GGA | optimized geometry

Cell: 9.9664 4.6555 9.9678 Å, 90.00 113.13 90.00°
With the nearest neighbours (Å) after each atom.
Sites, in units of the cell vectors:
K  0.1123  0.2500  0.3645  3 Hg 3.66-4.00, 3 Sn 3.67-3.69, 2 Bi 3.84
K  0.3731  0.7500  0.0927  2 Hg 3.55, 2 Bi 3.71, 3 Sn 3.87-3.95
K  0.6269  0.2500  0.9073  2 Hg 3.55, 2 Bi 3.71, 3 Sn 3.87-3.95
K  0.8877  0.7500  0.6355  3 Hg 3.66-4.00, 3 Sn 3.67-3.69, 2 Bi 3.84
Sn  0.1967  0.2500  0.7592  1 Hg 2.92, 2 Bi 2.98
Sn  0.8033  0.7500  0.2408  1 Hg 2.92, 2 Bi 2.98
Hg  0.0802  0.2500  0.9856  2 Hg 2.90, 1 Sn 2.92
Hg  0.9198  0.7500  0.0144  2 Hg 2.90, 1 Sn 2.92
Bi  0.3367  0.7500  0.6796  2 Sn 2.98
Bi  0.6633  0.2500  0.3204  2 Sn 2.98

Results
As for the energy: -2.32 eV/atom. The spin magnetization is 0.00 Bohr magnetons per cell.

(5)
KSrHgBi | PBE-GGA | optimized geometry

Cell: 5.8363 5.8363 5.8363 Å, 60.00 60.00 60.00°
With the nearest neighbours (Å) after each atom.
Sites, in units of the cell vectors:
K  0.0000  0.0000  0.0000  4 Hg 3.57, 4 Bi 3.57
Sr  0.5000  0.5000  0.5000  4 Bi 3.57, 4 Hg 3.57
Hg  0.2500  0.2500  0.2500  4 Sr 3.57, 4 K 3.57
Bi  0.7500  0.7500  0.7500  4 Sr 3.57, 4 K 3.57

Results
As for the energy: -2.33 eV/atom. The spin magnetization is 0.00 Bohr magnetons per cell.

(6)
KSr2Hg7Bi2 | PBE-GGA | optimized geometry

Cell: 4.8920 4.8920 15.8479 Å, 90.03 90.03 89.98°
With the nearest neighbours (Å) after each atom.
Sites, in units of the cell vectors:
K  0.0000  0.0000  0.0000  12 Hg 3.46-3.57
Sr  0.0006  0.0006  0.6771  6 Hg 3.36-3.51, 4 Bi 3.46
Sr  0.9994  0.9994  0.3229  6 Hg 3.36-3.51, 4 Bi 3.46
Hg  0.0016  0.5009  0.8361  6 Hg 3.45-3.57, 2 Sr 3.51, 2 Bi 3.54, 2 K 3.56-3.57
Hg  0.2676  0.2676  0.5000  2 Bi 3.20, 3 Hg 3.22-3.47, 2 Sr 3.36
Hg  0.4991  0.9984  0.1639  6 Hg 3.45-3.57, 2 Sr 3.51, 2 Bi 3.54, 2 K 3.56-3.57
Hg  0.5000  0.5000  0.0000  4 K 3.46, 8 Hg 3.56-3.57
Hg  0.5009  0.0016  0.8361  6 Hg 3.45-3.57, 2 Sr 3.51, 2 Bi 3.54, 2 K 3.56-3.57
Hg  0.7324  0.7324  0.5000  2 Bi 3.20, 3 Hg 3.22-3.47, 2 Sr 3.36
Hg  0.9984  0.4991  0.1639  6 Hg 3.45-3.57, 2 Sr 3.51, 2 Bi 3.54, 2 K 3.56-3.57
Bi  0.4994  0.4994  0.3253  6 Hg 3.20-3.54, 4 Sr 3.46
Bi  0.5006  0.5006  0.6747  6 Hg 3.20-3.54, 4 Sr 3.46

Results
As for the energy: -1.54 eV/atom. The spin magnetization is 0.00 Bohr magnetons per cell.

(7)
KSrHg2Bi | PBE-GGA | optimized geometry

Cell: 6.0015 6.0015 6.9973 Å, 90.00 90.00 90.00°
With the nearest neighbours (Å) after each atom.
Sites, in units of the cell vectors:
K  0.0000  0.0000  0.0000  2 Sr 3.50
Sr  0.0000  0.0000  0.5000  4 Hg 3.00
Hg  0.0000  0.5000  0.5000  2 Sr 3.00
Hg  0.5000  0.0000  0.5000  2 Sr 3.00
Bi  0.5000  0.5000  0.0000  4 K 4.24, 8 Hg 4.61

Results
As for the energy: -1.06 eV/atom. The spin magnetization is 0.67 Bohr magnetons per cell.

(8)
KTaHg2Bi | PBE-GGA | optimized geometry

Cell: 5.8062 5.8062 6.6970 Å, 90.00 90.00 90.00°
With the nearest neighbours (Å) after each atom.
Sites, in units of the cell vectors:
K  0.0000  0.0000  0.0000  2 Bi 3.35
Ta  0.5000  0.5000  0.0000  4 K 4.11, 8 Hg 4.43
Hg  0.0000  0.5000  0.5000  2 Bi 2.90
Hg  0.5000  0.0000  0.5000  2 Bi 2.90
Bi  0.0000  0.0000  0.5000  4 Hg 2.90

Results
As for the energy: -2.11 eV/atom. The spin magnetization is 3.53 Bohr magnetons per cell.